A geometry-optimized Tb6GaRh3 structure. Source: Alexandria via LeMat-Bulk, functional PBE.

a = 10.387 Å, b = 4.408 Å, c = 11.894 Å
α = 90.00°, β = 111.62°, γ = 90.00°
Space group P2_1/m (No. 11)
Symmetry-distinct sites (fractional):
1 Tb 0.026 0.250 0.389 [2 per cell]
2 Tb 0.086 0.250 0.924 [2 per cell]
3 Tb 0.242 0.750 0.317 [2 per cell]
4 Tb 0.338 0.750 0.801 [2 per cell]
5 Tb 0.368 0.750 0.101 [2 per cell]
6 Tb 0.384 0.250 0.571 [2 per cell]
7 Ga 0.418 0.250 0.293 [2 per cell]
8 Rh 0.105 0.250 0.175 [2 per cell]
9 Rh 0.193 0.750 0.531 [2 per cell]
10 Rh 0.388 0.250 0.958 [2 per cell]

* ΔH_f (0 K): -0.6079 eV/atom

A geometry-optimized LaSb3 structure. Source: Alexandria via LeMat-Bulk, functional PBE.

a = 10.6318 Å, b = 10.6318 Å, c = 3.5651 Å
α = 90.00°, β = 90.00°, γ = 120.00°
Space group R-3m (No. 166, hexagonal axes)
Symmetry-distinct sites (fractional):
1 La 0.0000 0.0000 0.0000 [3 per cell]
2 Sb 0.0000 0.5000 0.0000 [9 per cell]

* formation energy without anion corrections: -39.2 kJ/mol of atoms

A geometry-optimized Ce2ZnCdIr structure. Source: Alexandria via LeMat-Bulk, functional PBE.

a = 7.408 Å, b = 4.402 Å, c = 7.672 Å
α = 90.00°, β = 107.59°, γ = 90.00°
Space group P2_1/m (No. 11)
Symmetry-distinct sites (fractional):
1 Ce 0.128 0.250 0.339 [2 per cell]
2 Ce 0.286 0.250 0.963 [2 per cell]
3 Zn 0.452 0.750 0.335 [2 per cell]
4 Cd 0.326 0.750 0.658 [2 per cell]
5 Ir 0.123 0.750 0.096 [2 per cell]

* ΔH_f (0 K): -0.4014 eV/atom

A geometry-optimized K2PrPaO6 structure. Source: Alexandria via LeMat-Bulk, functional PBE.

a = 8.968 Å, b = 8.968 Å, c = 8.968 Å
α = 90.00°, β = 90.00°, γ = 90.00°
Space group Fm-3m (No. 225)
Symmetry-distinct sites (fractional):
1 K 0.250 0.250 0.250 [8 per cell]
2 Pr 0.000 0.000 0.000 [4 per cell]
3 Pa 0.000 0.000 0.500 [4 per cell]
4 O 0.000 0.000 0.263 [24 per cell]

* formation energy without anion corrections: -239.7 kJ/mol of atoms

A geometry-optimized SmSc2Zn structure. Source: Alexandria via LeMat-Bulk, functional PBE.

a = 3.3826 Å, b = 3.3826 Å, c = 29.6245 Å
α = 90.00°, β = 90.00°, γ = 120.00°
Space group R-3m (No. 166, hexagonal axes)
Symmetry-distinct sites (fractional):
1 Sm 0.0000 0.0000 0.0000 [3 per cell]
2 Sc 0.0000 0.0000 0.2381 [6 per cell]
3 Zn 0.0000 0.0000 0.5000 [3 per cell]

* ΔH_f (0 K): -0.0428 eV/atom

A geometry-optimized ScAgPb2F structure. Source: Alexandria via LeMat-Bulk, functional PBE.

a = 5.742 Å, b = 5.742 Å, c = 5.147 Å
α = 90.00°, β = 90.00°, γ = 90.00°
Space group P4/mmm (No. 123)
Symmetry-distinct sites (fractional):
1 Sc 0.000 0.000 0.000 [1 per cell]
2 Ag 0.000 0.000 0.500 [1 per cell]
3 Pb 0.000 0.500 0.000 [2 per cell]
4 F 0.500 0.500 0.500 [1 per cell]

* formation energy without anion corrections: 23.4 kJ/mol of atoms